YTa2Al, optimized geometry, DFT GGA-PBE; symmetry = Cmmm
1.0
2.947 -4.696 0.000
2.947 4.696 0.000
0.000 0.000 2.918
Y Ta Al
1 2 1
Direct
0.000 0.000 0.000
0.000 0.500 0.500
0.500 0.000 0.500
0.500 0.500 0.000


YTaAl2, optimized geometry, DFT GGA-PBE; distance to the lowest polymorph of the same formula = 221 meV per atom; symmetry = P4/mmm
1.0
5.075 0.000 0.000
0.000 5.075 0.000
0.000 0.000 3.020
Y Ta Al
1 1 2
Direct
0.000 0.000 0.000
0.500 0.500 0.000
0.000 0.500 0.500
0.500 0.000 0.500


YTa2Al, optimized geometry, DFT GGA-PBE; symmetry = P2/m
1.0
3.080 0.000 0.000
0.000 5.045 0.000
-0.771 0.000 5.310
Y Ta Al
1 2 1
Direct
0.000 0.000 0.000
0.355 0.500 0.736
0.645 0.500 0.264
0.500 0.000 0.500


YTa2Al, optimized geometry, DFT GGA-PBE; symmetry = R-3m
1.0
1.509 0.871 10.233
-1.509 0.871 10.233
0.000 -1.742 10.233
Y Ta Al
1 2 1
Direct
0.000 0.000 0.000
0.242 0.242 0.242
0.758 0.758 0.758
0.500 0.500 0.500


| no. | E_form (eV/atom) |
| --- | --- |
| 1 | 0.295 |
| 2 | -0.007 |
| 3 | 0.202 |
| 4 | 0.291 |